No. 1
# SmTlS2 (PBEsol, relaxed)
# Uncorrected formation energy in kJ/mol of atoms: -140.9
data_SmTlS2
_chemical_formula_sum 'Sm3 Tl3 S6'
_space_group_name_H-M_alt 'R -3 m'
_space_group_IT_number 166
_space_group_name_Hall '-R 3 2"'
_cell_length_a 4.0461
_cell_length_b 4.0461
_cell_length_c 22.0251
_cell_angle_alpha 90.00
_cell_angle_beta 90.00
_cell_angle_gamma 120.00
loop_
_atom_site_label
_atom_site_type_symbol
_atom_site_fract_x
_atom_site_fract_y
_atom_site_fract_z
Sm1 Sm 0.0000 0.0000 0.0000
Tl1 Tl 0.0000 0.0000 0.5000
S1 S 0.0000 0.0000 0.2646

---

No. 2
# Sm4Tm11S22 (PBEsol, relaxed)
# Uncorrected formation energy in kJ/mol of atoms: -206.7
data_Sm4Tm11S22
_chemical_formula_sum 'Sm8 Tm22 S44'
_space_group_name_H-M_alt 'C 1 2/m 1'
_space_group_IT_number 12
_cell_length_a 38.228
_cell_length_b 3.846
_cell_length_c 11.122
_cell_angle_alpha 90.00
_cell_angle_beta 91.61
_cell_angle_gamma 90.00
loop_
_space_group_symop_operation_xyz
'x,y,z'
'-x,-y,-z'
'-x,y,-z'
'x,-y,z'
'x+1/2,y+1/2,z'
'-x+1/2,-y+1/2,-z'
'-x+1/2,y+1/2,-z'
'x+1/2,-y+1/2,z'
loop_
_atom_site_label
_atom_site_type_symbol
_atom_site_fract_x
_atom_site_fract_y
_atom_site_fract_z
Sm1 Sm 0.105 0.000 0.012
Sm2 Sm 0.132 0.500 0.649
Tm1 Tm 0.000 0.000 0.000
Tm2 Tm 0.039 0.500 0.731
Tm3 Tm 0.071 0.000 0.358
Tm4 Tm 0.158 0.500 0.301
Tm5 Tm 0.202 0.000 0.941
Tm6 Tm 0.235 0.500 0.647
S1 S 0.008 0.000 0.240
S2 S 0.048 0.500 0.971
S3 S 0.058 0.500 0.510
S4 S 0.088 0.000 0.756
S5 S 0.093 0.500 0.209
S6 S 0.136 0.000 0.454
S7 S 0.149 0.500 0.905
S8 S 0.169 0.000 0.149
S9 S 0.187 0.000 0.691
S10 S 0.220 0.500 0.408
S11 S 0.246 0.500 0.879

---

No. 3
# SmTmS2 (PBEsol, relaxed)
# Uncorrected formation energy in kJ/mol of atoms: -202.6
data_SmTmS2
_chemical_formula_sum 'Sm3 Tm3 S6'
_space_group_name_H-M_alt 'R -3 m'
_space_group_IT_number 166
_space_group_name_Hall '-R 3 2"'
_cell_length_a 3.8358
_cell_length_b 3.8358
_cell_length_c 19.3274
_cell_angle_alpha 90.00
_cell_angle_beta 90.00
_cell_angle_gamma 120.00
loop_
_atom_site_label
_atom_site_type_symbol
_atom_site_fract_x
_atom_site_fract_y
_atom_site_fract_z
Sm1 Sm 0.0000 0.0000 0.0000
Tm1 Tm 0.0000 0.0000 0.5000
S1 S 0.0000 0.0000 0.2448

---

No. 4
# Sm3TmS4 (PBEsol, relaxed)
# Uncorrected formation energy in kJ/mol of atoms: -203.0
data_Sm3TmS4
_chemical_formula_sum 'Sm3 Tm1 S4'
_space_group_name_H-M_alt 'P m m m'
_space_group_IT_number 47
_cell_length_a 3.891
_cell_length_b 5.543
_cell_length_c 7.862
_cell_angle_alpha 90.00
_cell_angle_beta 90.00
_cell_angle_gamma 90.00
loop_
_space_group_symop_operation_xyz
'x,y,z'
'-x,-y,-z'
'-x,-y,z'
'x,y,-z'
'x,-y,-z'
'-x,y,z'
'-x,y,-z'
'x,-y,z'
loop_
_atom_site_label
_atom_site_type_symbol
_atom_site_fract_x
_atom_site_fract_y
_atom_site_fract_z
Sm1 Sm 0.000 0.000 0.000
Sm2 Sm 0.500 0.500 0.247
Tm1 Tm 0.000 0.000 0.500
S1 S 0.000 0.500 0.000
S2 S 0.000 0.500 0.500
S3 S 0.500 0.000 0.261

---

No. 5
# Sm2TmS4 (PBEsol, relaxed)
# Uncorrected formation energy in kJ/mol of atoms: -201.3
data_Sm2TmS4
_chemical_formula_sum 'Sm8 Tm4 S16'
_space_group_name_H-M_alt 'I -4 2 d'
_space_group_IT_number 122
_space_group_name_Hall 'I -4 2bw'
_cell_length_a 8.203
_cell_length_b 8.203
_cell_length_c 8.361
_cell_angle_alpha 90.00
_cell_angle_beta 90.00
_cell_angle_gamma 90.00
loop_
_atom_site_label
_atom_site_type_symbol
_atom_site_fract_x
_atom_site_fract_y
_atom_site_fract_z
Sm1 Sm 0.116 0.250 0.125
Tm1 Tm 0.000 0.000 0.500
S1 S 0.074 0.181 0.796

---

No. 6
# SmYS2 (PBEsol, relaxed)
# Uncorrected formation energy in kJ/mol of atoms: -205.8
data_SmYS2
_chemical_formula_sum 'Sm3 Y3 S6'
_space_group_name_H-M_alt 'R -3 m'
_space_group_IT_number 166
_space_group_name_Hall '-R 3 2"'
_cell_length_a 3.8832
_cell_length_b 3.8832
_cell_length_c 19.3587
_cell_angle_alpha 90.00
_cell_angle_beta 90.00
_cell_angle_gamma 120.00
loop_
_atom_site_label
_atom_site_type_symbol
_atom_site_fract_x
_atom_site_fract_y
_atom_site_fract_z
Sm1 Sm 0.0000 0.0000 0.0000
Y1 Y 0.0000 0.0000 0.5000
S1 S 0.0000 0.0000 0.2469

---

No. 7
# Sm3YS4 (PBEsol, relaxed)
# Uncorrected formation energy in kJ/mol of atoms: -205.5
data_Sm3YS4
_chemical_formula_sum 'Sm6 Y2 S8'
_space_group_name_H-M_alt 'C 1 2/m 1'
_space_group_IT_number 12
_cell_length_a 13.056
_cell_length_b 3.918
_cell_length_c 6.813
_cell_angle_alpha 90.00
_cell_angle_beta 100.15
_cell_angle_gamma 90.00
loop_
_space_group_symop_operation_xyz
'x,y,z'
'-x,-y,-z'
'-x,y,-z'
'x,-y,z'
'x+1/2,y+1/2,z'
'-x+1/2,-y+1/2,-z'
'-x+1/2,y+1/2,-z'
'x+1/2,-y+1/2,z'
loop_
_atom_site_label
_atom_site_type_symbol
_atom_site_fract_x
_atom_site_fract_y
_atom_site_fract_z
Sm1 Sm 0.000 0.000 0.000
Sm2 Sm 0.248 0.500 0.247
Y1 Y 0.000 0.500 0.500
S1 S 0.122 0.000 0.380
S2 S 0.124 0.500 0.868

---

No. 8
# Sm2ZrS5 (PBEsol, relaxed)
# Uncorrected formation energy in kJ/mol of atoms: -191.0
data_Sm2ZrS5
_chemical_formula_sum 'Sm8 Zr4 S20'
_space_group_name_H-M_alt 'P n m a'
_space_group_IT_number 62
_cell_length_a 11.413
_cell_length_b 7.826
_cell_length_c 7.229
_cell_angle_alpha 90.00
_cell_angle_beta 90.00
_cell_angle_gamma 90.00
loop_
_space_group_symop_operation_xyz
'x,y,z'
'-x,-y,-z'
'-x+1/2,-y,z+1/2'
'x+1/2,y,-z+1/2'
'x+1/2,-y+1/2,-z+1/2'
'-x+1/2,y+1/2,z+1/2'
'-x,y+1/2,-z'
'x,-y+1/2,z'
loop_
_atom_site_label
_atom_site_type_symbol
_atom_site_fract_x
_atom_site_fract_y
_atom_site_fract_z
Sm1 Sm 0.177 0.002 0.033
Zr1 Zr 0.009 0.750 0.578
S1 S 0.004 0.750 0.948
S2 S 0.088 0.039 0.666
S3 S 0.185 0.750 0.338
S4 S 0.209 0.250 0.318

---

No. 9
# SrSnS2 (PBEsol, relaxed)
# Uncorrected formation energy in kJ/mol of atoms: -95.2
data_SrSnS2
_chemical_formula_sum 'Sr4 Sn4 S8'
_space_group_name_H-M_alt 'I -4 2 d'
_space_group_IT_number 122
_space_group_name_Hall 'I -4 2bw'
_cell_length_a 6.241
_cell_length_b 6.241
_cell_length_c 13.895
_cell_angle_alpha 90.00
_cell_angle_beta 90.00
_cell_angle_gamma 90.00
loop_
_atom_site_label
_atom_site_type_symbol
_atom_site_fract_x
_atom_site_fract_y
_atom_site_fract_z
Sr1 Sr 0.000 0.000 0.000
Sn1 Sn 0.000 0.000 0.500
S1 S 0.235 0.250 0.625

---

No. 10
# Sr2SnS4 (PBEsol, relaxed)
# Uncorrected formation energy in kJ/mol of atoms: -137.1
data_Sr2SnS4
_chemical_formula_sum 'Sr8 Sn4 S16'
_space_group_name_H-M_alt 'A m a 2'
_space_group_IT_number 40
_cell_length_a 9.924
_cell_length_b 10.229
_cell_length_c 7.212
_cell_angle_alpha 90.00
_cell_angle_beta 90.00
_cell_angle_gamma 90.00
loop_
_space_group_symop_operation_xyz
'x,y,z'
'-x,-y,z'
'-x+1/2,y,z'
'x+1/2,-y,z'
'x,y+1/2,z+1/2'
'-x,-y+1/2,z+1/2'
'-x+1/2,y+1/2,z+1/2'
'x+1/2,-y+1/2,z+1/2'
loop_
_atom_site_label
_atom_site_type_symbol
_atom_site_fract_x
_atom_site_fract_y
_atom_site_fract_z
Sr1 Sr 0.000 0.000 0.000
Sr2 Sr 0.250 0.192 0.459
Sn1 Sn 0.250 0.277 0.972
S1 S 0.053 0.273 0.166
S2 S 0.250 0.068 0.813
S3 S 0.250 0.440 0.733